## Cs2GaP2 (PBE)

Data for a geometry-optimized Cs2GaP2 structure.

Geometry as POSCAR:
```
Cs2GaP2
1.0
7.280 0.000 0.000
0.000 7.280 0.000
0.000 0.000 5.909
Cs Ga P
4 2 4
Direct
0.184 0.316 0.000
0.316 0.816 0.000
0.684 0.184 0.000
0.816 0.684 0.000
0.000 0.000 0.500
0.500 0.500 0.500
0.104 0.604 0.500
0.396 0.104 0.500
0.604 0.896 0.500
0.896 0.396 0.500
```

Values from the calculation:
The volume is 31.31 A^3/atom. As for the energy relative to the elements: -0.08 eV per atom. As for the space group: P4/mbm, No. 127.


## Cs3GaP2 (PBE)

Data for a geometry-optimized Cs3GaP2 structure.

Geometry as POSCAR:
```
Cs3GaP2
1.0
-4.201 7.738 3.446
4.201 -7.738 3.446
4.201 7.738 -3.446
Cs Ga P
6 2 4
Direct
0.175 0.701 0.876
0.250 0.250 0.000
0.325 0.201 0.526
0.675 0.799 0.474
0.750 0.750 0.000
0.825 0.299 0.124
0.250 0.750 0.500
0.750 0.250 0.500
0.079 0.339 0.418
0.421 0.839 0.260
0.579 0.161 0.740
0.921 0.661 0.582
```

Values from the calculation:
The volume is 37.34 A^3/atom. As for the energy relative to the elements: -0.35 eV per atom. As for the space group: Ibam, No. 72.


## Cs3Ga2P4 (PBE)

Data for a geometry-optimized Cs3Ga2P4 structure.

Geometry as POSCAR:
```
Cs3Ga2P4
1.0
8.723 -2.060 0.000
8.723 2.060 0.000
-3.219 0.000 7.612
Cs Ga P
3 2 4
Direct
0.000 0.000 0.000
0.154 0.154 0.772
0.846 0.846 0.228
0.330 0.330 0.570
0.670 0.670 0.430
0.201 0.201 0.301
0.480 0.480 0.607
0.520 0.520 0.393
0.799 0.799 0.699
```

Values from the calculation:
The volume is 30.39 A^3/atom. As for the energy relative to the elements: -0.35 eV per atom. As for the space group: C2/m, No. 12.


## Cs2GaP2 (PBE)

Data for a geometry-optimized Cs2GaP2 structure.

Geometry as POSCAR:
```
Cs2GaP2
1.0
-3.811 7.198 3.262
3.811 -7.198 3.262
3.811 7.198 -3.262
Cs Ga P
4 2 4
Direct
0.148 0.171 0.319
0.352 0.671 0.023
0.648 0.329 0.977
0.852 0.829 0.681
0.250 0.750 0.500
0.750 0.250 0.500
0.090 0.664 0.754
0.410 0.164 0.574
0.590 0.836 0.426
0.910 0.336 0.246
```

Values from the calculation:
The volume is 35.80 A^3/atom. As for the energy relative to the elements: -0.32 eV per atom. As for the space group: Ibam, No. 72.


## Cs3GaP2 (PBE)

Data for a geometry-optimized Cs3GaP2 structure.

Geometry as POSCAR:
```
Cs3GaP2
1.0
11.365 0.000 0.000
0.000 8.886 0.000
-3.421 0.000 18.927
Cs Ga P
24 8 16
Direct
0.080 0.052 0.241
0.080 0.448 0.741
0.150 0.540 0.966
0.150 0.960 0.466
0.258 0.105 0.922
0.258 0.395 0.422
0.289 0.120 0.660
0.289 0.380 0.160
0.363 0.746 0.292
0.363 0.754 0.792
0.376 0.583 0.607
0.376 0.917 0.107
0.624 0.083 0.893
0.624 0.417 0.393
0.637 0.246 0.208
0.637 0.254 0.708
0.711 0.620 0.840
0.711 0.880 0.340
0.742 0.605 0.578
0.742 0.895 0.078
0.850 0.040 0.534
0.850 0.460 0.034
0.920 0.552 0.259
0.920 0.948 0.759
0.045 0.618 0.556
0.045 0.882 0.056
0.462 0.054 0.424
0.462 0.446 0.924
0.538 0.554 0.076
0.538 0.946 0.576
0.955 0.118 0.944
0.955 0.382 0.444
0.048 0.150 0.064
0.048 0.350 0.564
0.102 0.706 0.140
0.102 0.794 0.640
0.402 0.138 0.311
0.402 0.362 0.811
0.495 0.697 0.969
0.495 0.803 0.469
0.505 0.197 0.531
0.505 0.303 0.031
0.598 0.638 0.189
0.598 0.862 0.689
0.898 0.206 0.360
0.898 0.294 0.860
0.952 0.650 0.436
0.952 0.850 0.936
```

Values from the calculation:
The volume is 39.82 A^3/atom. As for the energy relative to the elements: -0.42 eV per atom. As for the space group: P2_1/c, No. 14.


## Cs3Ga2P4 (PBE)

Data for a geometry-optimized Cs3Ga2P4 structure.

Geometry as POSCAR:
```
Cs3Ga2P4
1.0
7.128 -5.536 0.000
7.128 5.536 0.000
-1.717 0.000 7.396
Cs Ga P
6 4 8
Direct
0.083 0.917 0.750
0.251 0.523 0.439
0.477 0.749 0.061
0.523 0.251 0.939
0.749 0.477 0.561
0.917 0.083 0.250
0.099 0.324 0.031
0.324 0.099 0.531
0.676 0.901 0.469
0.901 0.676 0.969
0.124 0.293 0.703
0.162 0.516 0.885
0.293 0.124 0.203
0.484 0.838 0.615
0.516 0.162 0.385
0.707 0.876 0.797
0.838 0.484 0.115
0.876 0.707 0.297
```

Values from the calculation:
The volume is 32.43 A^3/atom. As for the energy relative to the elements: -0.29 eV per atom. As for the space group: C2/c, No. 15.


## Cs4Rb2GaP2 (PBE)

Data for a geometry-optimized Cs4Rb2GaP2 structure.

Geometry as POSCAR:
```
Cs4Rb2GaP2
1.0
11.755 -5.255 0.000
11.755 5.255 0.000
-0.076 0.000 5.334
Cs Rb Ga P
4 2 1 2
Direct
0.126 0.673 0.513
0.327 0.874 0.487
0.673 0.126 0.513
0.874 0.327 0.487
0.237 0.237 0.999
0.763 0.763 0.001
0.000 0.000 0.000
0.093 0.093 0.987
0.907 0.907 0.013
```

Values from the calculation:
The volume is 73.22 A^3/atom. As for the energy relative to the elements: -0.23 eV per atom. As for the space group: C2/m, No. 12.


## CsGaSbP2 (PBE)

Data for a geometry-optimized CsGaSbP2 structure.

Geometry as POSCAR:
```
CsGaSbP2
1.0
4.943 0.000 0.000
0.000 4.943 0.000
0.000 0.000 5.873
Cs Ga Sb P
1 1 1 2
Direct
0.000 0.000 0.000
0.000 0.000 0.500
0.500 0.500 0.000
0.000 0.500 0.500
0.500 0.000 0.500
```

Values from the calculation:
The volume is 28.70 A^3/atom. As for the space group: P4/mmm, No. 123. The calculation puts the uncorrected formation energy at 17.5 kcal/mol of atoms.


## Cs2PaGaS5 (PBE)

Data for a geometry-optimized Cs2PaGaS5 structure.

Geometry as POSCAR:
```
Cs2PaGaS5
1.0
2.056 -9.966 0.000
2.056 9.966 0.000
0.000 0.000 15.001
Cs Pa Ga S
4 2 2 10
Direct
0.113 0.887 0.500
0.126 0.874 0.149
0.874 0.126 0.649
0.887 0.113 0.000
0.200 0.800 0.848
0.800 0.200 0.348
0.431 0.569 0.246
0.569 0.431 0.746
0.062 0.938 0.838
0.303 0.697 0.460
0.313 0.687 0.226
0.322 0.678 0.829
0.490 0.510 0.126
0.510 0.490 0.626
0.678 0.322 0.329
0.687 0.313 0.726
0.697 0.303 0.960
0.938 0.062 0.338
```

Values from the calculation:
The volume is 34.15 A^3/atom. As for the space group: Cmc2_1, No. 36. The calculation puts the uncorrected formation energy at -29.4 kcal/mol of atoms.


## Cs2PaGaSe4 (PBE)

Data for a geometry-optimized Cs2PaGaSe4 structure.

Geometry as POSCAR:
```
Cs2PaGaSe4
1.0
0.000 7.988 13.700
3.121 0.000 13.700
3.121 7.988 0.000
Cs Pa Ga Se
4 2 2 8
Direct
0.052 0.052 0.698
0.302 0.302 0.948
0.698 0.698 0.052
0.948 0.948 0.302
0.125 0.125 0.125
0.875 0.875 0.875
0.375 0.375 0.375
0.625 0.625 0.625
0.049 0.313 0.407
0.269 0.593 0.687
0.313 0.049 0.731
0.407 0.731 0.049
0.593 0.269 0.951
0.687 0.951 0.269
0.731 0.407 0.313
0.951 0.687 0.593
```

Values from the calculation:
The volume is 42.69 A^3/atom. As for the space group: Fddd, No. 70. The calculation puts the uncorrected formation energy at -22.7 kcal/mol of atoms.


## Cs2PaGaSe5 (PBE)

Data for a geometry-optimized Cs2PaGaSe5 structure.

Geometry as POSCAR:
```
Cs2PaGaSe5
1.0
2.129 -10.502 0.000
2.129 10.502 0.000
0.000 0.000 15.346
Cs Pa Ga Se
4 2 2 10
Direct
0.122 0.878 0.500
0.124 0.876 0.858
0.876 0.124 0.358
0.878 0.122 0.000
0.199 0.801 0.195
0.801 0.199 0.695
0.430 0.570 0.594
0.570 0.430 0.094
0.062 0.938 0.191
0.306 0.694 0.813
0.310 0.690 0.568
0.322 0.678 0.179
0.488 0.512 0.468
0.512 0.488 0.968
0.678 0.322 0.679
0.690 0.310 0.068
0.694 0.306 0.313
0.938 0.062 0.691
```

Values from the calculation:
The volume is 38.12 A^3/atom. As for the space group: Cmc2_1, No. 36. The calculation puts the uncorrected formation energy at -26.8 kcal/mol of atoms.